Entry 1:
CsAg2SCl: relaxed, PBE.

a = 5.037 Å, b = 5.037 Å, c = 7.056 Å
α = 90.00°, β = 90.00°, γ = 90.00°
Space group P4/mmm (No. 123)
Inequivalent atoms, fractional coordinates:
1 Cs 0.000 0.000 0.000
2 Ag 0.000 0.500 0.500
3 S 0.500 0.500 0.000
4 Cl 0.500 0.500 0.500

Calculated values
Volume (Å³ per atom): 35.8
ρ (g/cm³): 3.86
Energy relative to the elements, uncorrected (eV/atom): 0.10

Entry 2:
KBaH6Pt: relaxed, PBE.

a = 9.489 Å, b = 5.473 Å, c = 4.881 Å
α = 90.00°, β = 90.13°, γ = 90.00°
Space group Cm (No. 8)
Inequivalent atoms, fractional coordinates:
1 K 0.000 0.000 0.000
2 Ba 0.333 0.000 0.467
3 H 0.018 0.500 0.937
4 H 0.092 0.277 0.545
5 H 0.241 0.276 0.937
6 H 0.315 0.500 0.545
7 Pt 0.167 0.500 0.742

Calculated values
Volume (Å³ per atom): 14.1
Electronic total energy (eV per atom): -3.633
ρ (g/cm³): 4.95

Entry 3:
HoBeCo2: relaxed, PBE.

a = 4.725 Å, b = 4.387 Å, c = 11.402 Å
α = 90.00°, β = 90.00°, γ = 90.00°
Space group Pmma (No. 51)
Inequivalent atoms, fractional coordinates:
1 Ho 0.250 0.000 0.095
2 Ho 0.250 0.500 0.312
3 Be 0.250 0.000 0.661
4 Be 0.250 0.500 0.550
5 Co 0.000 0.000 0.500
6 Co 0.000 0.500 0.000
7 Co 0.250 0.252 0.827

Calculated values
Volume (Å³ per atom): 14.8
Energy of formation from the pure elements (eV per atom): -0.002
ρ (g/cm³): 8.20
ΔE to the lowest computed polymorph (meV per atom): 182

- ρ of number 1 (CsAg2SCl)?
  3.86 g/cm³

- What is the volume in the third record?
  14.8 Å³ per atom

- Among the records above, which one has the highest volume?
  CsAg2SCl